Entry 1:
Material: YHfO2
Method: DFT, GGA-PBE
State: optimized geometry

Formation energy (no corrections) = -1.7563 eV/atom
DOS at the Fermi energy = 1.262 states/eV per cell
Theoretical density = 10.1 g/cm3

a b c (Å): 4.1113 4.1113 4.1113
angles (deg): 60.00 60.00 60.00
Closest atoms and distances in Å follow each position.
Atoms (fractional coordinates):
Y (0.0000, 0.0000, 0.0000)  8 O 2.52
Hf (0.5000, 0.5000, 0.5000)  8 O 2.52
O (0.2500, 0.2500, 0.2500)  4 Hf 2.52, 4 Y 2.52
O (0.7500, 0.7500, 0.7500)  4 Hf 2.52, 4 Y 2.52


Entry 2:
Material: BaY2Tc
Method: DFT, GGA-PBE
State: optimized geometry

Calculated formation energy = 0.32 eV per atom
DOS at the Fermi energy = 4.989 states/eV per cell
Theoretical density = 5.3 g/cm3
Energy above the most stable polymorph in this dataset = 218.3 meV/atom

a b c (Å): 3.9203 3.9203 8.4017
angles (deg): 90.00 90.00 90.00
Closest atoms and distances in Å follow each position.
Atoms (fractional coordinates):
Ba (0.0000, 0.0000, 0.0000)  1 Y 3.36, 4 Tc 3.70
Y (0.0000, 0.0000, 0.3993)  4 Tc 2.91
Y (0.5000, 0.5000, 0.6299)  1 Tc 2.84
Tc (0.5000, 0.5000, 0.2921)  5 Y 2.84-2.91


Entry 3:
Material: Hf2ReOs2
Method: DFT, GGA-PBE
State: optimized geometry

Calculated formation energy = -0.17 eV per atom
DOS at the Fermi energy = 7.275 states/eV per cell
Theoretical density = 16.8 g/cm3

a b c (Å): 6.5345 6.5345 4.2744
angles (deg): 90.00 90.00 90.00
Closest atoms and distances in Å follow each position.
Atoms (fractional coordinates):
Hf (0.1791, 0.3209, 0.0000)  6 Os 2.73-2.98
Hf (0.3209, 0.8209, 0.0000)  6 Os 2.73-2.98
Hf (0.6791, 0.1791, 0.0000)  6 Os 2.73-2.98
Hf (0.8209, 0.6791, 0.0000)  6 Os 2.73-2.98
Re (0.0000, 0.0000, 0.5000)  4 Os 2.54
Re (0.5000, 0.5000, 0.5000)  4 Os 2.54
Os (0.1365, 0.6365, 0.5000)  1 Os 2.52, 2 Re 2.54, 2 Hf 2.73
Os (0.3635, 0.1365, 0.5000)  1 Os 2.52, 2 Re 2.54, 2 Hf 2.73
Os (0.6365, 0.8635, 0.5000)  1 Os 2.52, 2 Re 2.54, 2 Hf 2.73
Os (0.8635, 0.3635, 0.5000)  1 Os 2.52, 2 Re 2.54, 2 Hf 2.73


Entry 4:
Material: RePdRh4
Method: DFT, GGA-PBE
State: optimized geometry

Calculated formation energy = -0.02 eV per atom
DOS at the Fermi energy = 6.773 states/eV per cell
Theoretical density = 13.5 g/cm3

a b c (Å): 2.7238 3.8869 8.1961
angles (deg): 90.00 90.00 90.00
Closest atoms and distances in Å follow each position.
Atoms (fractional coordinates):
Re (0.0000, 0.0000, 0.0000)  10 Rh 2.68-2.71, 2 Re 2.72
Pd (0.5000, 0.5000, 0.5000)  2 Pd 2.72, 10 Rh 2.77-2.79
Rh (0.0000, 0.0000, 0.3267)  1 Re 2.68, 7 Rh 2.72-2.84, 4 Pd 2.77
Rh (0.0000, 0.0000, 0.6733)  1 Re 2.68, 7 Rh 2.72-2.84, 4 Pd 2.77
Rh (0.5000, 0.5000, 0.1601)  7 Rh 2.62-2.74, 4 Re 2.71, 1 Pd 2.79
Rh (0.5000, 0.5000, 0.8399)  7 Rh 2.62-2.74, 4 Re 2.71, 1 Pd 2.79


Entry 5:
Material: Na2SrFeBi
Method: DFT, GGA-PBE
State: optimized geometry

Calculated formation energy = 0.49 eV per atom
DOS at the Fermi energy = 10.488 states/eV per cell
Theoretical density = 3.0 g/cm3

a b c (Å): 5.8545 5.8545 6.4926
angles (deg): 90.00 90.00 90.00
Closest atoms and distances in Å follow each position.
Atoms (fractional coordinates):
Na (0.0000, 0.5000, 0.0000)  2 Bi 2.93
Na (0.5000, 0.0000, 0.0000)  2 Bi 2.93
Sr (0.0000, 0.0000, 0.5000)  2 Bi 3.25
Fe (0.5000, 0.5000, 0.5000)  4 Sr 4.14, 8 Na 4.37
Bi (0.0000, 0.0000, 0.0000)  4 Na 2.93, 2 Sr 3.25


Entry 6:
Material: BaAgBiSe3
Method: DFT, GGA-PBE
State: optimized geometry

Formation energy (no corrections) = -0.8845 eV/atom
Theoretical density = 6.4 g/cm3

a b c (Å): 8.8708 4.3528 9.5970
angles (deg): 90.00 104.47 90.00
Closest atoms and distances in Å follow each position.
Atoms (fractional coordinates):
Ba (0.1953, 0.2500, 0.2504)  7 Se 3.33-3.46, 1 Ag 3.62
Ba (0.8047, 0.7500, 0.7496)  7 Se 3.33-3.46, 1 Ag 3.62
Ag (0.0834, 0.2500, 0.5883)  4 Se 2.74-2.82, 2 Ag 2.92
Ag (0.9166, 0.7500, 0.4117)  4 Se 2.74-2.82, 2 Ag 2.92
Bi (0.3257, 0.7500, 0.8455)  6 Se 2.92-3.02
Bi (0.6743, 0.2500, 0.1545)  6 Se 2.92-3.02
Se (0.1049, 0.2500, 0.8786)  1 Ag 2.74, 2 Bi 3.00
Se (0.2424, 0.7500, 0.5207)  3 Ag 2.76-2.82, 1 Bi 3.02
Se (0.4434, 0.7500, 0.1585)  3 Bi 2.92-3.00
Se (0.5566, 0.2500, 0.8415)  3 Bi 2.92-3.00
Se (0.7576, 0.2500, 0.4793)  3 Ag 2.76-2.82, 1 Bi 3.02
Se (0.8951, 0.7500, 0.1214)  1 Ag 2.74, 2 Bi 3.00


Entry 7:
Material: Be2Fe5GeMo2
Method: DFT, GGA-PBE
State: optimized geometry

Calculated formation energy = -0.06 eV per atom
DOS at the Fermi energy = 16.032 states/eV per cell
Theoretical density = 8.5 g/cm3

a b c (Å): 8.7425 8.7425 2.8853
angles (deg): 90.00 90.00 90.00
Closest atoms and distances in Å follow each position.
Atoms (fractional coordinates):
Be (0.1226, 0.3774, 0.0000)  6 Fe 2.09-2.12
Be (0.3774, 0.8774, 0.0000)  6 Fe 2.09-2.12
Be (0.6226, 0.1226, 0.0000)  6 Fe 2.09-2.12
Be (0.8774, 0.6226, 0.0000)  6 Fe 2.09-2.12
Fe (0.0000, 0.5000, 0.5000)  4 Be 2.09
Fe (0.0637, 0.2101, 0.5000)  2 Be 2.12
Fe (0.2101, 0.9363, 0.5000)  2 Be 2.12
Fe (0.2899, 0.4363, 0.5000)  2 Be 2.12
Fe (0.4363, 0.7101, 0.5000)  2 Be 2.12
Fe (0.5000, 0.0000, 0.5000)  4 Be 2.09
Fe (0.5637, 0.2899, 0.5000)  2 Be 2.12
Fe (0.7101, 0.5637, 0.5000)  2 Be 2.12
Fe (0.7899, 0.0637, 0.5000)  2 Be 2.12
Fe (0.9363, 0.7899, 0.5000)  2 Be 2.12
Ge (0.0000, 0.0000, 0.0000)  8 Fe 2.40
Ge (0.5000, 0.5000, 0.0000)  8 Fe 2.40
Mo (0.1747, 0.6747, 0.0000)  3 Be 2.51-2.64, 10 Fe 2.60-2.73
Mo (0.3253, 0.1747, 0.0000)  3 Be 2.51-2.64, 10 Fe 2.60-2.73
Mo (0.6747, 0.8253, 0.0000)  3 Be 2.51-2.64, 10 Fe 2.60-2.73
Mo (0.8253, 0.3253, 0.0000)  3 Be 2.51-2.64, 10 Fe 2.60-2.73


Entry 8:
Material: NiSe3N
Method: DFT, GGA-PBE
State: optimized geometry

Formation energy (no corrections) = 1.1149 eV/atom
DOS at the Fermi energy = 4.872 states/eV per cell
Theoretical density = 6.3 g/cm3
Energy above the most stable polymorph in this dataset = 678.0 meV/atom

a b c (Å): 4.3372 4.3372 4.3372
angles (deg): 90.00 90.00 90.00
Closest atoms and distances in Å follow each position.
Atoms (fractional coordinates):
Ni (0.0000, 0.0000, 0.0000)  12 Se 3.07
Se (0.0000, 0.5000, 0.5000)  2 N 2.17
Se (0.5000, 0.0000, 0.5000)  2 N 2.17
Se (0.5000, 0.5000, 0.0000)  2 N 2.17
N (0.5000, 0.5000, 0.5000)  6 Se 2.17


- theoretical density of number 8 (NiSe3N)?
  6.3 g/cm3


- Among the records above, which one has the highest theoretical density?
  Hf2ReOs2